The following is a DFT calculation (GGA-PBE) of crystalline CdNiW2 at its relaxed geometry.

Cell lengths 9.576, 9.576, 9.576 Å; angles 16.73, 16.73, 16.73 degrees
Fractional coordinates of all 4 atoms:
Cd: 0.000 0.000 0.000
Ni: 0.500 0.500 0.500
W: 0.242 0.242 0.242
W: 0.758 0.758 0.758

Calculated values
raw total energy: -7.691 eV per atom
magnetization: 0.00 μB per atom
calculated formation energy: 44.4 kJ per mole of atoms

The following is a DFT calculation (GGA-PBE) of crystalline GaNi3Ag at its relaxed geometry.

Cell lengths 4.341, 4.341, 4.341 Å; angles 90.00, 90.00, 90.00 degrees
Fractional coordinates of all 5 atoms:
Ga: 0.000 0.000 0.000
Ni: 0.000 0.000 0.500
Ni: 0.000 0.500 0.000
Ni: 0.500 0.000 0.000
Ag: 0.500 0.500 0.500

Calculated values
raw total energy: -3.973 eV per atom
polymorph energy (0 for the lowest one): 0 meV/atom
magnetization: 0.00 μB per atom
calculated formation energy: 64.8 kJ per mole of atoms